The following is a DFT calculation (PBE) of an optimized crystal structure of SrLaAl.

Properties
* volume: 414 Å³ per cell
* energy of formation: -0.08 eV per atom
* D(E_F): 2.889 states/eV/f.u.
* spin magnetization: 0.000 μB/atom
* uncorrected energy: -3.533 eV per atom
* energy above the lowest structure with this stoichiometry: 123 meV/atom
* space-group type: Pnma (62)

Unit cell a=6.861 b=7.022 c=8.585 alpha=90.00 beta=90.00 gamma=90.00
Fractional positions:
Sr  0.001  0.250  0.148
Sr  0.499  0.750  0.648
Sr  0.501  0.250  0.352
Sr  0.999  0.750  0.852
La  0.250  0.250  0.750
La  0.250  0.750  0.250
La  0.750  0.250  0.750
La  0.750  0.750  0.250
Al  0.000  0.000  0.500
Al  0.000  0.500  0.500
Al  0.500  0.000  0.000
Al  0.500  0.500  0.000